Record 1
# ZrRuPb2, relaxed, DFT PBE
# Uncorrected energy: -5.8798 eV/atom
# Polymorph energy (0 for the lowest one): 2.039 eV per formula unit
# Energy of formation from the pure elements: 0.4303 eV/atom
data_ZrRuPb2
_chemical_formula_sum 'Zr4 Ru4 Pb8'
_cell_length_a 4.2696
_cell_length_b 4.2696
_cell_length_c 20.7530
_cell_angle_alpha 90.00
_cell_angle_beta 90.00
_cell_angle_gamma 90.00
_space_group_name_H-M_alt 'I -4 2 d'
_space_group_IT_number 122
_space_group_name_Hall 'I -4 2bw'
loop_
_atom_site_label
_atom_site_type_symbol
_atom_site_fract_x
_atom_site_fract_y
_atom_site_fract_z
Zr1 Zr 0.0000 0.0000 0.0000
Ru1 Ru 0.0000 0.0000 0.5000
Pb1 Pb 0.2412 0.2500 0.6250

***

Record 2
# ZrRuPb2, relaxed, DFT PBE
# Uncorrected energy: -6.2002 eV/atom
# Polymorph energy (0 for the lowest one): 0.758 eV per formula unit
# Energy of formation from the pure elements: 0.1100 eV/atom
data_ZrRuPb2
_chemical_formula_sum 'Zr2 Ru2 Pb4'
_cell_length_a 10.9608
_cell_length_b 3.3938
_cell_length_c 5.4422
_cell_angle_alpha 90.00
_cell_angle_beta 114.20
_cell_angle_gamma 90.00
_space_group_name_H-M_alt 'C 1 m 1'
_space_group_IT_number 8
loop_
_space_group_symop_operation_xyz
'x,y,z'
'x,-y,z'
'x+1/2,y+1/2,z'
'x+1/2,-y+1/2,z'
loop_
_atom_site_label
_atom_site_type_symbol
_atom_site_fract_x
_atom_site_fract_y
_atom_site_fract_z
Zr1 Zr 0.0000 0.0000 0.0000
Ru1 Ru 0.3226 0.0000 0.7092
Pb1 Pb 0.0704 0.5000 0.5662
Pb2 Pb 0.2838 0.5000 0.2195

***

Record 3
# ZrRuPb2, relaxed, DFT PBE
# Uncorrected energy: -6.0882 eV/atom
# Polymorph energy (0 for the lowest one): 1.205 eV per formula unit
# Energy of formation from the pure elements: 0.2220 eV/atom
data_ZrRuPb2
_chemical_formula_sum 'Zr4 Ru4 Pb8'
_cell_length_a 7.0592
_cell_length_b 7.0592
_cell_length_c 7.0592
_cell_angle_alpha 90.00
_cell_angle_beta 90.00
_cell_angle_gamma 90.00
_space_group_name_H-M_alt 'F -4 3 m'
_space_group_IT_number 216
_space_group_name_Hall 'F -4 2 3'
loop_
_atom_site_label
_atom_site_type_symbol
_atom_site_fract_x
_atom_site_fract_y
_atom_site_fract_z
Zr1 Zr 0.0000 0.0000 0.0000
Ru1 Ru 0.2500 0.2500 0.2500
Pb1 Pb 0.0000 0.0000 0.5000
Pb2 Pb 0.2500 0.2500 0.7500

***

Record 4
# ZrRuPb2, relaxed, DFT PBE
# Uncorrected energy: -6.0942 eV/atom
# Polymorph energy (0 for the lowest one): 1.181 eV per formula unit
# Energy of formation from the pure elements: 0.2159 eV/atom
data_ZrRuPb2
_chemical_formula_sum 'Zr2 Ru2 Pb4'
_cell_length_a 4.2925
_cell_length_b 4.2925
_cell_length_c 9.3707
_cell_angle_alpha 90.00
_cell_angle_beta 90.00
_cell_angle_gamma 90.00
_space_group_name_H-M_alt 'I -4 m 2'
_space_group_IT_number 119
_space_group_name_Hall 'I -4 -2'
loop_
_atom_site_label
_atom_site_type_symbol
_atom_site_fract_x
_atom_site_fract_y
_atom_site_fract_z
Zr1 Zr 0.0000 0.0000 0.0000
Ru1 Ru 0.0000 0.5000 0.2500
Pb1 Pb 0.0000 0.0000 0.5000
Pb2 Pb 0.0000 0.5000 0.7500